Compound: Tl5CoCl8
Source: the Alexandria database
Functional: GGA-PBE
Structure: optimized geometry

CIF file:
```
data_Tl5CoCl8
_chemical_formula_sum 'Tl10 Co2 Cl16'
_space_group_name_H-M_alt 'I -4'
_space_group_IT_number 82
_space_group_name_Hall 'I -4'
_cell_length_a 9.0453
_cell_length_b 9.0453
_cell_length_c 12.7543
_cell_angle_alpha 90.00
_cell_angle_beta 90.00
_cell_angle_gamma 90.00
loop_
_atom_site_label
_atom_site_type_symbol
_atom_site_fract_x
_atom_site_fract_y
_atom_site_fract_z
Tl1 Tl 0.0000 0.0000 0.0000
Tl2 Tl 0.0043 0.7481 0.6260
Co1 Co 0.0000 0.5000 0.2500
Cl1 Cl 0.0033 0.7192 0.8602
Cl2 Cl 0.0039 0.6975 0.3489
```

Computed properties:
volume = 37.3 Å³/atom
total energy = -45.93 eV/f.u.
uncorrected formation energy = -0.87 eV per atom